# TlCo2F | Alexandria via LeMat-Bulk | PBE with a Hubbard U | relaxed
data_TlCo2F
_chemical_formula_sum 'Tl2 Co4 F2'
_cell_length_a 4.4838
_cell_length_b 4.4838
_cell_length_c 8.0060
_cell_angle_alpha 73.74
_cell_angle_beta 73.74
_cell_angle_gamma 90.00
_space_group_name_H-M_alt 'P 1'
_space_group_IT_number 1
loop_
_space_group_symop_operation_xyz
'x,y,z'
loop_
_atom_site_label
_atom_site_type_symbol
_atom_site_fract_x
_atom_site_fract_y
_atom_site_fract_z
Tl1 Tl 0.0000 0.0000 0.0000
Tl2 Tl 0.7500 0.2500 0.5000
Co1 Co 0.4929 0.1250 0.2500
Co2 Co 0.2571 0.6250 0.2500
Co3 Co 0.3750 0.5071 0.7500
Co4 Co 0.8750 0.7429 0.7500
F1 F 0.5000 0.5000 0.0000
F2 F 0.2500 0.7500 0.5000
# Fermi-level density of states	0.1969	states/eV per atom
# energy above the most stable polymorph in this dataset	0.000	eV per atom